Below is crystalline CsHgTeF6 at its relaxed geometry, with properties calculated at the PBE-GGA level.

The structure in extended XYZ format:
```
9
Lattice="4.855 0.000 0.000 0.055 6.773 0.000 0.059 3.296 5.922" Properties=species:S:1:pos:R:3 pbc="T T T"
Cs 0.000 0.000 0.000
Hg 2.191 3.346 1.956
Te 2.980 6.687 3.948
F 2.299 8.755 4.136
F 2.295 5.449 5.722
F 2.290 5.904 2.011
F 4.219 5.170 3.700
F 4.251 7.219 5.358
F 4.249 7.625 2.787
```

For the total energy, the calculation gives -33.6 eV/f.u. Its crystal system is triclinic. The formation energy without anion corrections is -18.1 eV per formula unit. Its symmetry is P1. For the total magnetic moment, the calculation gives 1.016 Bohr magnetons per cell.



Below is crystalline Be4Pb at its relaxed geometry, with properties calculated at the PBE-GGA level.

The structure in extended XYZ format:
```
5
Lattice="4.648 0.000 0.000 0.000 4.648 0.000 0.000 0.000 4.648" Properties=species:S:1:pos:R:3 pbc="T T T"
Be 0.000 0.000 0.000
Be 0.000 2.324 2.324
Be 2.324 0.000 2.324
Be 2.324 2.324 0.000
Pb 2.324 2.324 2.324
```

For the total energy, the calculation gives -9.8 eV/f.u. The energy above the most stable polymorph in this dataset is 321 meV/atom. Its crystal system is cubic. Its symmetry is Pm-3m. The formation energy comes out at 1.763 eV/atom. For the total magnetic moment, the calculation gives 0.000 Bohr magnetons per cell.



Below is crystalline Si3N4 at its relaxed geometry, with properties calculated at the PBE-GGA level.

The structure in extended XYZ format:
```
14
Lattice="7.659 0.000 0.000 -3.829 6.633 0.000 0.000 0.000 2.925" Properties=species:S:1:pos:R:3 pbc="T T T"
Si -0.216 2.694 0.731
Si -1.388 5.472 0.731
Si 2.225 1.534 2.194
Si 1.604 5.099 0.731
Si 5.218 1.160 2.194
Si 4.045 3.939 2.194
N -1.028 2.188 2.194
N -1.420 6.429 2.194
N 1.381 1.985 0.731
N 0.000 4.422 0.731
N 3.829 2.211 2.194
N 2.448 4.648 2.194
N 5.249 0.204 0.731
N 4.858 4.444 0.731
```

For the total energy, the calculation gives -57.3 eV/f.u. The energy above the most stable polymorph in this dataset is 0 meV/atom. Its crystal system is hexagonal. The formation energy without anion corrections is -7.7 eV per formula unit. Its symmetry is P6_3/m. For the total magnetic moment, the calculation gives 0.000 Bohr magnetons per cell.



Below is crystalline Mg2ReAgF at its relaxed geometry, with properties calculated at the PBE-GGA level.

The structure in extended XYZ format:
```
5
Lattice="4.061 0.000 0.000 0.000 4.061 0.000 0.000 0.000 4.896" Properties=species:S:1:pos:R:3 pbc="T T T"
Mg 0.000 2.031 0.000
Mg 2.031 0.000 0.000
Re 0.000 0.000 2.448
Ag 2.031 2.031 2.448
F 2.031 2.031 0.000
```

For the total energy, the calculation gives -20.8 eV/f.u. Its crystal system is tetragonal. The formation energy without anion corrections is -0.4 eV per formula unit. Its symmetry is P4/mmm. For the total magnetic moment, the calculation gives 1.369 Bohr magnetons per cell.



Below is crystalline HfNi2Pt2 at its relaxed geometry, with properties calculated at the PBE-GGA level.

The structure in extended XYZ format:
```
10
Lattice="4.134 0.000 0.000 0.000 5.296 0.000 0.000 0.000 6.855" Properties=species:S:1:pos:R:3 pbc="T T T"
Hf 0.000 0.000 0.000
Hf 2.067 2.648 3.428
Ni 0.000 1.146 3.428
Ni 0.000 4.150 3.428
Ni 2.067 1.502 0.000
Ni 2.067 3.795 0.000
Pt 0.000 2.648 1.333
Pt 0.000 2.648 5.523
Pt 2.067 0.000 2.095
Pt 2.067 0.000 4.760
```

For the total energy, the calculation gives -36.1 eV/f.u. The energy above the most stable polymorph in this dataset is 0 meV/atom. Its crystal system is orthorhombic. Its symmetry is Immm. The formation energy comes out at -0.504 eV/atom. For the total magnetic moment, the calculation gives 0.003 Bohr magnetons per cell.



Below is crystalline HfUPd at its relaxed geometry, with properties calculated at the PBE-GGA level.

The structure in extended XYZ format:
```
12
Lattice="3.468 0.000 0.000 0.000 3.468 0.000 0.000 0.000 20.920" Properties=species:S:1:pos:R:3 pbc="T T T"
Hf 0.000 0.000 2.517
Hf 0.000 0.000 18.403
Hf 1.734 1.734 7.943
Hf 1.734 1.734 12.977
U 0.000 0.000 5.748
U 0.000 0.000 15.172
U 1.734 1.734 4.712
U 1.734 1.734 16.208
Pd 0.000 0.000 9.152
Pd 0.000 0.000 11.769
Pd 1.734 1.734 1.309
Pd 1.734 1.734 19.612
```

For the total energy, the calculation gives -27.0 eV/f.u. Its crystal system is tetragonal. Its symmetry is I4/mmm. The formation energy comes out at -0.190 eV/atom. For the total magnetic moment, the calculation gives 0.000 Bohr magnetons per cell.